Below is NbGa2Ir after structural relaxation, with properties calculated at the GGA-PBEsol level.

Final energy (eV per cell): -28.122
Space group: Fm-3m, No. 225
Size of the total moment (μB per cell): 2.1

abc: 4.395 4.395 4.395
angles: 60.00 60.00 60.00
Atoms (fractional coordinates):
Nb (0.000, 0.000, 0.000)
Ga (0.250, 0.250, 0.250)
Ga (0.750, 0.750, 0.750)
Ir (0.500, 0.500, 0.500)